Material: W4Se8I
Method: DFT, GGA-PBE
State: optimized geometry

The space group is I4/m (No. 87) and the conventional cell measures 14.890, 14.890 and 3.235 Å, with angles of 90.00, 90.00 and 90.00 degrees. The asymmetric unit holds W at (0.194, 0.698, 0.000), Se at (0.068, 0.664, 0.500), Se at (0.131, 0.195, 0.000) and I at (0.000, 0.000, 0.500).

Its energy relative to the elements, uncorrected is -0.246 eV per atom.